Density functional theory data (PBE) for crystalline Li2CoAsH at its relaxed geometry.

Summary:
theoretical density	4.86	g/cm3
Fermi-level density of states	2.40	states/eV per cell
total energy	-4.0771	eV per atom
magnetization	0.8	μB per formula unit

```
data_Li2CoAsH
_chemical_formula_sum 'Li2 Co1 As1 H1'
_space_group_name_H-M_alt 'P 4/m m m'
_space_group_IT_number 123
_space_group_name_Hall '-P 4 2'
_cell_length_a 3.695
_cell_length_b 3.695
_cell_length_c 3.726
_cell_angle_alpha 90.00
_cell_angle_beta 90.00
_cell_angle_gamma 90.00
loop_
_atom_site_label
_atom_site_fract_x
_atom_site_fract_y
_atom_site_fract_z
Li1 0.000 0.500 0.000
Co1 0.000 0.000 0.500
As1 0.500 0.500 0.500
H1 0.000 0.000 0.000
```